The following is a DFT calculation (PBE) of a geometry-optimized Tb6Nd3Dy2Y structure.

abc: 6.220 6.220 11.890
angles: 94.99 94.99 119.98
Sites, in units of the cell vectors:
Tb 0.917 0.583 0.753
Tb 0.749 0.749 0.247
Tb 0.083 0.417 0.247
Tb 0.583 0.917 0.753
Tb 0.251 0.251 0.753
Tb 0.417 0.083 0.247
Nd 0.167 0.833 0.500
Nd 0.833 0.167 0.500
Nd 0.500 0.500 0.500
Dy 0.333 0.667 0.000
Dy 0.667 0.333 0.000
Y 0.000 0.000 0.000

Computed properties:
ΔH_f (0 K): 0.02 eV/atom
V: 32.701 Å³ per atom
DOS(E_F): 15.7 states/eV/cell
symmetry: No. 12

The following is a DFT calculation (PBE) of a geometry-optimized ErTmV4 structure.

abc: 5.416 5.416 5.416
angles: 60.00 60.00 60.00
Sites, in units of the cell vectors:
V 0.625 0.625 0.126
V 0.625 0.126 0.625
V 0.625 0.625 0.625
V 0.126 0.625 0.625
Tm 0.250 0.250 0.250
Er 0.000 0.000 0.000

Computed properties:
ΔH_f (0 K): 0.34 eV/atom
V: 18.727 Å³ per atom
DOS(E_F): 12.8 states/eV/cell
symmetry: No. 216

The following is a DFT calculation (PBE) of a geometry-optimized MgTaH structure.

abc: 12.673 5.241 5.241
angles: 134.93 150.87 29.13
Sites, in units of the cell vectors:
H 0.111 0.530 0.470
H 0.889 0.470 0.530
Mg 0.619 0.013 0.987
Mg 0.381 0.987 0.013
Ta 0.119 0.012 0.988
Ta 0.881 0.988 0.012

Computed properties:
electronic total energy: -16.52 eV/f.u.
V: 13.346 Å³ per atom
DOS(E_F): 2.3 states/eV/cell
symmetry: No. 12